(1)
First-principles (PBE) data for Tl2Ag2Te2Br after structural relaxation, as listed in Alexandria via LeMat-Bulk.

Summary:
volume = 31.875 Å³/atom
raw total energy = -20.287 eV/cell
SG = C2/m (12)
calculated density = 7.1 g/cm3

Lattice parameters (Å, degrees): 4.629 7.236 8.189 60.28 73.58 71.34
Fractional positions:
Tl  0.448  0.781  0.322
Te  0.209  0.278  0.304
Ag  0.761  0.387  0.091
Ag  0.239  0.613  0.909
Te  0.791  0.722  0.696
Tl  0.552  0.219  0.678
Br  0.000  0.000  0.000


(2)
First-principles (PBE) data for ThAg3Br7 after structural relaxation, as listed in Alexandria via LeMat-Bulk.

Summary:
volume = 35.593 Å³/atom
raw total energy = -37.842 eV/cell
SG = Cm (8)
calculated density = 4.7 g/cm3

Lattice parameters (Å, degrees): 7.887 7.887 10.702 50.08 50.08 65.55
Fractional positions:
Ag  0.254  0.687  0.355
Br  0.961  0.425  0.767
Th  0.955  0.955  0.052
Br  0.120  0.530  0.270
Ag  0.687  0.254  0.355
Br  0.530  0.120  0.270
Br  0.425  0.961  0.767
Ag  0.602  0.602  0.012
Br  0.891  0.891  0.852
Br  0.105  0.105  0.165
Br  0.594  0.594  0.385


(3)
First-principles (PBE) data for ThAg2Br6 after structural relaxation, as listed in Alexandria via LeMat-Bulk.

Summary:
polymorph energy (0 for the lowest one) = 0 kJ/mol of formula units
volume = 39.877 Å³/atom
raw total energy = -66.170 eV/cell
SG = P2_1/c (14)
calculated density = 4.3 g/cm3

Lattice parameters (Å, degrees): 6.984 8.161 12.638 90.00 94.80 90.00
Fractional positions:
Ag  0.480  0.904  0.397
Br  0.832  0.966  0.700
Ag  0.520  0.096  0.603
Br  0.168  0.034  0.300
Ag  0.980  0.596  0.897
Br  0.668  0.466  0.800
Br  0.300  0.783  0.579
Br  0.291  0.779  0.913
Br  0.709  0.221  0.087
Br  0.791  0.721  0.413
Br  0.200  0.283  0.921
Br  0.209  0.279  0.587
Th  0.500  0.500  0.000
Br  0.700  0.217  0.421
Br  0.800  0.717  0.079
Th  0.000  0.000  0.500
Br  0.332  0.534  0.200
Ag  0.020  0.404  0.103


(4)
First-principles (PBE) data for ThAg6Br12 after structural relaxation, as listed in Alexandria via LeMat-Bulk.

Summary:
volume = 38.234 Å³/atom
raw total energy = -56.896 eV/cell
SG = R-3 (148)
calculated density = 4.2 g/cm3

Lattice parameters (Å, degrees): 9.280 9.280 9.280 74.61 74.61 74.61
Fractional positions:
Br  0.317  0.929  0.013
Th  0.000  0.000  0.000
Br  0.574  0.411  0.178
Br  0.178  0.574  0.411
Ag  0.696  0.396  0.885
Ag  0.396  0.885  0.696
Br  0.683  0.071  0.987
Br  0.987  0.683  0.071
Br  0.426  0.589  0.822
Br  0.589  0.822  0.426
Br  0.929  0.013  0.317
Br  0.013  0.317  0.929
Ag  0.604  0.115  0.304
Ag  0.304  0.604  0.115
Ag  0.885  0.696  0.396
Ag  0.115  0.304  0.604
Br  0.411  0.178  0.574
Br  0.822  0.426  0.589
Br  0.071  0.987  0.683


(5)
First-principles (PBE) data for ThAg2Br6 after structural relaxation, as listed in Alexandria via LeMat-Bulk.

Summary:
polymorph energy (0 for the lowest one) = 13 kJ/mol of formula units
volume = 37.138 Å³/atom
raw total energy = -32.953 eV/cell
SG = R3 (146)
calculated density = 4.6 g/cm3

Lattice parameters (Å, degrees): 7.379 7.379 8.271 63.51 63.51 60.00
Fractional positions:
Br  0.112  0.732  0.758
Br  0.949  0.235  0.241
Br  0.399  0.112  0.758
Br  0.235  0.575  0.241
Ag  0.595  0.595  0.215
Ag  0.736  0.736  0.791
Th  0.333  0.333  0.001
Br  0.732  0.399  0.758
Br  0.575  0.949  0.241


(6)
First-principles (PBE) data for ThAgBr5 after structural relaxation, as listed in Alexandria via LeMat-Bulk.

Summary:
volume = 41.781 Å³/atom
raw total energy = -55.190 eV/cell
SG = C2/c (15)
calculated density = 4.2 g/cm3

Lattice parameters (Å, degrees): 7.467 8.540 10.907 108.58 90.00 115.93
Fractional positions:
Br  0.035  0.684  0.858
Br  0.414  0.229  0.988
Ag  0.681  0.000  0.250
Th  0.000  0.000  0.500
Ag  0.319  0.000  0.750
Br  0.351  0.316  0.642
Th  0.000  0.000  0.000
Br  0.185  0.771  0.512
Br  0.965  0.316  0.142
Br  0.586  0.771  0.012
Br  0.163  0.000  0.250
Br  0.837  0.000  0.750
Br  0.815  0.229  0.488
Br  0.649  0.684  0.358


(7)
First-principles (PBE) data for ThTlAg2Br8 after structural relaxation, as listed in Alexandria via LeMat-Bulk.

Summary:
volume = 38.416 Å³/atom
raw total energy = -40.335 eV/cell
SG = P-1 (2)
calculated density = 4.7 g/cm3

Lattice parameters (Å, degrees): 7.473 6.934 9.097 87.50 81.01 97.15
Fractional positions:
Br  0.155  0.792  0.212
Br  0.845  0.208  0.788
Br  0.823  0.200  0.241
Tl  0.000  0.000  0.500
Ag  0.401  0.488  0.710
Br  0.678  0.694  0.531
Th  0.000  0.000  0.000
Br  0.313  0.292  0.972
Br  0.322  0.306  0.469
Br  0.177  0.800  0.759
Ag  0.599  0.512  0.290
Br  0.687  0.708  0.028


(8)
First-principles (PBE) data for TiAgBr3 after structural relaxation, as listed in Alexandria via LeMat-Bulk.

Summary:
polymorph energy (0 for the lowest one) = 0 kJ/mol of formula units
volume = 28.072 Å³/atom
raw total energy = -18.083 eV/cell
SG = Pm-3m (221)
calculated density = 4.7 g/cm3

Lattice parameters (Å, degrees): 5.197 5.197 5.197 90.00 90.00 90.00
Last column: magnetic moment on the atom in μB.
Fractional positions:
Ti  0.000  0.000  0.000  1.38
Br  0.500  0.000  0.000  -0.03
Br  0.000  0.500  0.000  0.00
Br  0.000  0.000  0.500  0.00
Ag  0.500  0.500  0.500  0.07


(9)
First-principles (PBE) data for TiAgBr2 after structural relaxation, as listed in Alexandria via LeMat-Bulk.

Summary:
polymorph energy (0 for the lowest one) = 0 kJ/mol of formula units
volume = 25.161 Å³/atom
raw total energy = -16.047 eV/cell
SG = R-3m (166)
calculated density = 5.2 g/cm3

Lattice parameters (Å, degrees): 10.595 10.595 10.595 18.14 18.14 18.14
Fractional positions:
Ag  0.000  0.000  0.000
Br  0.111  0.111  0.111
Ti  0.500  0.500  0.500
Br  0.889  0.889  0.889


(10)
First-principles (PBE) data for TiAg2Br5 after structural relaxation, as listed in Alexandria via LeMat-Bulk.

Summary:
volume = 31.581 Å³/atom
raw total energy = -54.945 eV/cell
SG = Cmcm (63)
calculated density = 4.4 g/cm3

Lattice parameters (Å, degrees): 5.047 7.670 13.823 90.00 90.00 109.21
Last column: magnetic moment on the atom in μB.
Fractional positions:
Br  0.058  0.116  0.380  0.00
Ag  0.864  0.727  0.441  0.00
Ag  0.136  0.273  0.559  0.00
Br  0.697  0.394  0.250  -0.03
Br  0.686  0.372  0.613  -0.01
Br  0.303  0.606  0.750  -0.03
Br  0.314  0.628  0.387  -0.01
Ag  0.864  0.727  0.059  0.00
Br  0.942  0.884  0.620  0.00
Ti  0.816  0.633  0.750  0.90
Br  0.686  0.372  0.887  -0.01
Br  0.314  0.628  0.113  -0.01
Br  0.942  0.884  0.880  0.00
Ti  0.184  0.367  0.250  0.90
Br  0.058  0.116  0.120  0.00
Ag  0.136  0.273  0.941  0.00


(11)
First-principles (PBE) data for Ti3AgBr after structural relaxation, as listed in Alexandria via LeMat-Bulk.

Summary:
polymorph energy (0 for the lowest one) = 210 kJ/mol of formula units
volume = 25.251 Å³/atom
raw total energy = -23.305 eV/cell
SG = Pm-3m (221)
calculated density = 4.4 g/cm3

Lattice parameters (Å, degrees): 5.017 5.017 5.017 90.00 90.00 90.00
Last column: magnetic moment on the atom in μB.
Fractional positions:
Ti  0.000  0.500  0.000  0.95
Ti  0.500  0.000  0.000  1.20
Ti  0.000  0.000  0.500  0.96
Br  0.500  0.500  0.500  0.00
Ag  0.000  0.000  0.000  0.03


(12)
First-principles (PBE) data for TiAg2Br after structural relaxation, as listed in Alexandria via LeMat-Bulk.

Summary:
polymorph energy (0 for the lowest one) = 108 kJ/mol of formula units
volume = 20.879 Å³/atom
raw total energy = -13.072 eV/cell
SG = Fm-3m (225)
calculated density = 6.8 g/cm3

Lattice parameters (Å, degrees): 4.906 4.906 4.906 60.00 60.00 60.00
Last column: magnetic moment on the atom in μB.
Fractional positions:
Ag  0.750  0.750  0.750  0.02
Ti  0.000  0.000  0.000  1.32
Ag  0.250  0.250  0.250  0.02
Br  0.500  0.500  0.500  0.05


(13)
First-principles (PBE) data for TiAgBr2 after structural relaxation, as listed in Alexandria via LeMat-Bulk.

Summary:
polymorph energy (0 for the lowest one) = 152 kJ/mol of formula units
volume = 30.809 Å³/atom
raw total energy = -28.935 eV/cell
SG = I-42d (122)
calculated density = 4.3 g/cm3

Lattice parameters (Å, degrees): 6.555 6.555 7.375 63.62 63.62 90.00
Last column: magnetic moment on the atom in μB.
Fractional positions:
Br  0.375  0.405  0.750  -0.01
Br  0.875  0.845  0.750  -0.01
Ti  0.250  0.750  0.500  1.93
Br  0.595  0.125  0.250  -0.01
Ag  0.750  0.250  0.500  0.05
Ti  0.500  0.500  0.000  1.92
Ag  0.000  0.000  0.000  0.05
Br  0.155  0.625  0.250  -0.01


(14)
First-principles (PBE) data for TiAgBr6 after structural relaxation, as listed in Alexandria via LeMat-Bulk.

Summary:
polymorph energy (0 for the lowest one) = 18 kJ/mol of formula units
volume = 31.534 Å³/atom
raw total energy = -26.556 eV/cell
SG = P-1 (2)
calculated density = 4.2 g/cm3

Lattice parameters (Å, degrees): 6.329 7.294 7.518 56.12 65.68 63.94
Fractional positions:
Ag  0.500  0.500  0.500
Br  0.636  0.186  0.193
Br  0.907  0.609  0.231
Br  0.221  0.901  0.276
Br  0.364  0.814  0.807
Ti  0.000  0.000  0.000
Br  0.779  0.099  0.724
Br  0.093  0.391  0.769


(15)
First-principles (PBE) data for Ti3AgBr after structural relaxation, as listed in Alexandria via LeMat-Bulk.

Summary:
polymorph energy (0 for the lowest one) = 0 kJ/mol of formula units
volume = 20.364 Å³/atom
raw total energy = -25.483 eV/cell
SG = Pm-3m (221)
calculated density = 5.4 g/cm3

Lattice parameters (Å, degrees): 4.670 4.670 4.670 90.00 90.00 90.00
Last column: magnetic moment on the atom in μB.
Fractional positions:
Ti  0.000  0.000  0.500  0.29
Ti  0.000  0.500  0.000  0.50
Ti  0.500  0.000  0.000  0.66
Br  0.000  0.000  0.000  0.00
Ag  0.500  0.500  0.500  0.03


(16)
First-principles (PBE) data for TiAgBr6 after structural relaxation, as listed in Alexandria via LeMat-Bulk.

Summary:
polymorph energy (0 for the lowest one) = 0 kJ/mol of formula units
volume = 33.664 Å³/atom
raw total energy = -26.743 eV/cell
SG = C2/m (12)
calculated density = 3.9 g/cm3

Lattice parameters (Å, degrees): 7.311 6.999 7.092 103.00 104.98 121.38
Fractional positions:
Br  0.105  0.851  0.699
Br  0.895  0.149  0.301
Br  0.406  0.152  0.301
Ti  0.500  0.000  0.000
Br  0.705  0.408  0.000
Ag  0.000  0.000  0.000
Br  0.295  0.592  0.000
Br  0.594  0.848  0.699


(17)
First-principles (PBE) data for TiAgBr2 after structural relaxation, as listed in Alexandria via LeMat-Bulk.

Summary:
polymorph energy (0 for the lowest one) = 171 kJ/mol of formula units
volume = 26.642 Å³/atom
raw total energy = -14.276 eV/cell
SG = R-3m (166)
calculated density = 4.9 g/cm3

Lattice parameters (Å, degrees): 8.993 8.993 8.993 24.10 24.10 24.10
Last column: magnetic moment on the atom in μB.
Fractional positions:
Ag  0.500  0.500  0.500  0.02
Br  0.096  0.096  0.096  -0.01
Br  0.904  0.904  0.904  -0.01
Ti  0.000  0.000  0.000  1.56


(18)
First-principles (PBE) data for TiAg2Br after structural relaxation, as listed in Alexandria via LeMat-Bulk.

Summary:
polymorph energy (0 for the lowest one) = 0 kJ/mol of formula units
volume = 21.401 Å³/atom
raw total energy = -28.382 eV/cell
SG = I-42d (122)
calculated density = 6.7 g/cm3

Lattice parameters (Å, degrees): 8.010 8.010 6.261 50.23 50.23 90.00
Last column: magnetic moment on the atom in μB.
Fractional positions:
Ag  0.375  0.386  0.750  0.00
Ag  0.136  0.625  0.250  0.00
Br  0.000  0.000  0.000  -0.03
Ti  0.250  0.750  0.500  0.86
Br  0.750  0.250  0.500  -0.03
Ag  0.614  0.125  0.250  0.00
Ag  0.875  0.864  0.750  0.00
Ti  0.500  0.500  0.000  0.86


(19)
First-principles (PBE) data for TiAgBr2 after structural relaxation, as listed in Alexandria via LeMat-Bulk.

Summary:
polymorph energy (0 for the lowest one) = 173 kJ/mol of formula units
volume = 21.777 Å³/atom
raw total energy = -14.256 eV/cell
SG = Fm-3m (225)
calculated density = 6.0 g/cm3

Lattice parameters (Å, degrees): 4.976 4.976 4.976 60.00 60.00 60.00
Last column: magnetic moment on the atom in μB.
Fractional positions:
Br  0.750  0.750  0.750  -0.02
Ag  0.500  0.500  0.500  0.06
Br  0.250  0.250  0.250  -0.02
Ti  0.000  0.000  0.000  1.87


(20)
First-principles (PBE) data for TiTl2AgBr after structural relaxation, as listed in Alexandria via LeMat-Bulk.

Summary:
volume = 31.240 Å³/atom
raw total energy = -13.174 eV/cell
SG = P4/mmm (123)
calculated density = 6.9 g/cm3

Lattice parameters (Å, degrees): 5.492 5.178 5.492 90.00 90.00 90.00
Fractional positions:
Br  0.000  0.500  0.000
Ag  0.000  0.000  0.000
Ti  0.500  0.500  0.500
Tl  0.000  0.000  0.500
Tl  0.500  0.000  0.000


Number 1: ΔE_f (raw) -0.271 eV per atom. Number 2: ΔE_f (raw) -0.923 eV per atom. Number 3: ΔE_f (raw) -1.103 eV per atom. Number 4: ΔE_f (raw) -0.647 eV per atom. Number 5: ΔE_f (raw) -1.088 eV per atom. Number 6: ΔE_f (raw) -1.280 eV per atom. Number 7: ΔE_f (raw) -0.955 eV per atom. Number 8: ΔE_f (raw) -0.464 eV per atom. Number 9: ΔE_f (raw) -0.489 eV per atom. Number 10: ΔE_f (raw) -0.689 eV per atom. Number 11: ΔE_f (raw) 0.981 eV per atom. Number 12: ΔE_f (raw) 0.550 eV per atom. Number 13: ΔE_f (raw) -0.094 eV per atom. Number 14: ΔE_f (raw) -0.722 eV per atom. Number 15: ΔE_f (raw) 0.545 eV per atom. Number 16: ΔE_f (raw) -0.745 eV per atom. Number 17: ΔE_f (raw) -0.046 eV per atom. Number 18: ΔE_f (raw) 0.270 eV per atom. Number 19: ΔE_f (raw) -0.041 eV per atom. Number 20: ΔE_f (raw) 0.796 eV per atom.